Compound: Pm3Pr4Nd4
Source: the Alexandria database
Functional: PBE
Structure: optimized geometry

Results
Calculated density in kg/m³: 6692
Uncorrected energy in eV per atom: -4.658
Excess energy over the best structure of this formula in the dataset in meV per atom: 61

Cell lengths 3.729, 11.997, 10.652 Å; angles 124.27, 84.27, 90.00 degrees
Atoms (fractional coordinates):
Pm: 0.751 0.899 0.798
Pm: 0.249 0.101 0.202
Pm: 0.000 0.500 0.000
Pr: 0.816 0.415 0.331
Pr: 0.184 0.084 0.669
Pr: 0.184 0.585 0.669
Pr: 0.816 0.916 0.331
Nd: 0.670 0.295 0.590
Nd: 0.330 0.705 0.410
Nd: 0.500 0.752 0.000
Nd: 0.500 0.248 0.000